Compound: Li3Dy3InTe8
Source: Alexandria
Functional: PBE
Structure: relaxed

## Properties
DOS(E_F) (states/eV per atom): 0.50
Spin magnetization (μB per cell): 0.00
Uncorrected formation energy (kJ per mole of atoms): -98.5

Unit cell a=8.6028 b=8.6028 c=8.6028 alpha=60.12 beta=60.12 gamma=60.12
Fractional positions:
Li  0.0000  0.5000  0.5000
Li  0.5000  0.0000  0.5000
Li  0.5000  0.5000  0.0000
Dy  0.0000  0.0000  0.5000
Dy  0.0000  0.5000  0.0000
Dy  0.5000  0.0000  0.0000
In  0.5000  0.5000  0.5000
Te  0.2504  0.2504  0.7439
Te  0.2504  0.7439  0.2504
Te  0.2524  0.2524  0.2524
Te  0.2561  0.7496  0.7496
Te  0.7439  0.2504  0.2504
Te  0.7476  0.7476  0.7476
Te  0.7496  0.2561  0.7496
Te  0.7496  0.7496  0.2561

Compound: Li4Dy3InTe8
Source: Alexandria
Functional: PBE
Structure: relaxed

## Properties
DOS(E_F) (states/eV per atom): 0.16
Spin magnetization (μB per cell): 0.00
Uncorrected formation energy (kJ per mole of atoms): -104.4

Unit cell a=8.6366 b=8.6366 c=8.6366 alpha=60.17 beta=60.17 gamma=60.17
Fractional positions:
Li  0.0000  0.0000  0.0000
Li  0.0000  0.5000  0.5000
Li  0.5000  0.0000  0.5000
Li  0.5000  0.5000  0.0000
Dy  0.0000  0.0000  0.5000
Dy  0.0000  0.5000  0.0000
Dy  0.5000  0.0000  0.0000
In  0.5000  0.5000  0.5000
Te  0.2506  0.2506  0.7442
Te  0.2506  0.7442  0.2506
Te  0.2519  0.2519  0.2519
Te  0.2558  0.7494  0.7494
Te  0.7442  0.2506  0.2506
Te  0.7481  0.7481  0.7481
Te  0.7494  0.2558  0.7494
Te  0.7494  0.7494  0.2558

Compound: LiDy2In3Te6
Source: Alexandria
Functional: PBE
Structure: relaxed

## Properties
DOS(E_F) (states/eV per atom): 0.44
Spin magnetization (μB per cell): 0.00
Uncorrected formation energy (kJ per mole of atoms): -76.0

Unit cell a=7.5958 b=7.5958 c=7.9986 alpha=99.09 beta=99.09 gamma=120.16
Fractional positions:
Li  0.0000  0.0000  0.0000
Dy  0.3343  0.6657  0.0000
Dy  0.6657  0.3343  0.0000
In  0.1705  0.8295  0.5000
In  0.5000  0.5000  0.5000
In  0.8295  0.1705  0.5000
Te  0.0767  0.4132  0.2335
Te  0.2568  0.2568  0.7665
Te  0.4132  0.0767  0.2335
Te  0.5868  0.9233  0.7665
Te  0.7432  0.7432  0.2335
Te  0.9233  0.5868  0.7665